(1)
Entry from Alexandria: an optimized crystal structure of HoEr3Ir2 (PBE).

Summary:
E_form, meV/atom: -676.1
SG: Ibam (72)
Distance to the lowest polymorph of the same formula, eV per atom: 0.088

Unit cell a=6.7025 b=6.9910 c=8.3067 alpha=114.89 beta=113.79 gamma=90.00
Sites, in units of the cell vectors:
Er 0.2343 0.4843 0.4686
Er 0.7657 0.5157 0.5314
Er 0.7657 0.0157 0.5314
Er 0.2343 0.9843 0.4686
Er 0.5000 0.7500 0.0000
Er 0.5000 0.2500 0.0000
Ho 0.0000 0.0000 0.0000
Ho 0.0000 0.5000 0.0000
Ir 0.8509 0.1383 0.2765
Ir 0.5744 0.3617 0.7235
Ir 0.4256 0.6383 0.2765
Ir 0.1491 0.8617 0.7235

=====

(2)
Entry from Alexandria: an optimized crystal structure of HfPtC3 (PBE).

Summary:
E_form, meV/atom: 2361.9
SG: Pm-3m (221)
Distance to the lowest polymorph of the same formula, eV per atom: 0.435

Unit cell a=4.2259 b=4.2259 c=4.2259 alpha=90.00 beta=90.00 gamma=90.00
Sites, in units of the cell vectors:
Hf 0.0000 0.0000 0.0000
C 0.0000 0.5000 0.0000
C 0.5000 0.0000 0.0000
C 0.0000 0.0000 0.5000
Pt 0.5000 0.5000 0.5000

=====

(3)
Entry from Alexandria: an optimized crystal structure of Cs3PaTe4 (PBE).

Summary:
SG: Imm2 (44)
Distance to the lowest polymorph of the same formula, eV per atom: 0.169
Formation energy (no corrections), kJ per mole of atoms: -81.4

Unit cell a=8.7798 b=8.7798 c=8.7798 alpha=92.12 beta=116.12 gamma=121.52
Sites, in units of the cell vectors:
Te 0.0825 0.7582 0.3243
Te 0.1720 0.7039 0.8759
Te 0.5661 0.2418 0.3243
Te 0.1720 0.2961 0.4681
Cs 0.0044 0.0000 0.0044
Cs 0.5697 0.2405 0.8102
Cs 0.5697 0.7595 0.3292
Pa 0.0146 0.5000 0.5146

=====

(4)
Entry from Alexandria: an optimized crystal structure of HgTe2MoN (PBE).

Summary:
SG: P4/mmm (123)
Distance to the lowest polymorph of the same formula, eV per atom: 1.387
Formation energy (no corrections), kJ per mole of atoms: 157.2

Unit cell a=5.7184 b=5.7184 c=4.0382 alpha=90.00 beta=90.00 gamma=90.00
Sites, in units of the cell vectors:
Hg 0.0000 0.0000 0.0000
Te 0.5000 0.0000 0.0000
Te 0.0000 0.5000 0.0000
N 0.0000 0.0000 0.5000
Mo 0.5000 0.5000 0.5000

=====

(5)
Entry from Alexandria: an optimized crystal structure of SbP3 (PBE).

Summary:
SG: P4/mmm (123)
Distance to the lowest polymorph of the same formula, eV per atom: 0.373
Formation energy (no corrections), kJ per mole of atoms: 55.1

Unit cell a=3.1765 b=3.1765 c=7.6674 alpha=90.00 beta=90.00 gamma=90.00
Sites, in units of the cell vectors:
Sb 0.5000 0.5000 0.7500
P 0.0000 0.0000 0.1007
P 0.0000 0.0000 0.3993
P 0.5000 0.5000 0.2500

=====

(6)
Entry from Alexandria: an optimized crystal structure of Ta2WAu (PBE).

Summary:
E_form, meV/atom: 220.8
SG: Pmm2 (25)
Distance to the lowest polymorph of the same formula, eV per atom: 0.267

Unit cell a=2.7991 b=4.2934 c=5.8692 alpha=90.00 beta=90.00 gamma=90.00
Sites, in units of the cell vectors:
W 0.0000 0.0000 0.4908
Ta 0.5000 0.5000 0.2585
Ta 0.0000 0.0000 0.9979
Au 0.5000 0.5000 0.7528

=====

(7)
Entry from Alexandria: an optimized crystal structure of Sm4Ho3Au4 (PBE).

Summary:
E_form, meV/atom: -535.1
SG: Immm (71)

Unit cell a=3.7701 b=9.2406 c=9.9764 alpha=117.59 beta=100.89 gamma=90.00
Sites, in units of the cell vectors:
Sm 0.3389 0.5243 0.6778
Sm 0.6611 0.4757 0.3222
Sm 0.6611 0.8465 0.3222
Sm 0.3389 0.1535 0.6778
Ho 0.1013 0.1013 0.2025
Ho 0.8987 0.8987 0.7975
Ho 0.0000 0.5000 0.0000
Au 0.5000 0.8201 0.0000
Au 0.2594 0.7594 0.5187
Au 0.5000 0.1799 0.0000
Au 0.7406 0.2406 0.4813

=====

(8)
Entry from Alexandria: an optimized crystal structure of CoNi2Rh9 (PBE).

Summary:
E_form, meV/atom: 47.2
SG: P4/mmm (123)

Unit cell a=3.7927 b=3.7927 c=11.3736 alpha=90.00 beta=90.00 gamma=90.00
Sites, in units of the cell vectors:
Rh 0.5000 0.5000 0.3330
Rh 0.5000 0.5000 0.0000
Rh 0.5000 0.0000 0.1660
Rh 0.5000 0.0000 0.8340
Rh 0.5000 0.5000 0.6670
Rh 0.0000 0.5000 0.8340
Rh 0.0000 0.5000 0.1660
Rh 0.5000 0.0000 0.5000
Rh 0.0000 0.5000 0.5000
Ni 0.0000 0.0000 0.3351
Ni 0.0000 0.0000 0.6649
Co 0.0000 0.0000 0.0000

=====

What is the formula in the third record?
Cs3PaTe4

=====

What is the formula in the third record?
Cs3PaTe4